# 1
Here is crystalline LaTbScAg at its relaxed geometry from Alexandria. Energies are from PBE-GGA.

Crystal system = cubic
Total energy = -4.64 eV/atom

Cell lengths 7.6156, 7.6156, 7.6156 Å; angles 90.00, 90.00, 90.00 degrees
Last column: nearest neighbours and their distance in Å.
Sites, in units of the cell vectors:
1 La 0.0000 0.0000 0.0000  4 Sc 3.30, 4 Ag 3.30
2 La 0.0000 0.5000 0.5000  4 Sc 3.30, 4 Ag 3.30
3 La 0.5000 0.0000 0.5000  4 Sc 3.30, 4 Ag 3.30
4 La 0.5000 0.5000 0.0000  4 Sc 3.30, 4 Ag 3.30
5 Tb 0.0000 0.0000 0.5000  4 Ag 3.30, 4 Sc 3.30
6 Tb 0.0000 0.5000 0.0000  4 Ag 3.30, 4 Sc 3.30
7 Tb 0.5000 0.0000 0.0000  4 Ag 3.30, 4 Sc 3.30
8 Tb 0.5000 0.5000 0.5000  4 Ag 3.30, 4 Sc 3.30
9 Sc 0.2500 0.2500 0.7500  4 Tb 3.30, 4 La 3.30
10 Sc 0.2500 0.7500 0.2500  4 Tb 3.30, 4 La 3.30
11 Sc 0.7500 0.2500 0.2500  4 Tb 3.30, 4 La 3.30
12 Sc 0.7500 0.7500 0.7500  4 Tb 3.30, 4 La 3.30
13 Ag 0.2500 0.2500 0.2500  4 La 3.30, 4 Tb 3.30
14 Ag 0.2500 0.7500 0.7500  4 La 3.30, 4 Tb 3.30
15 Ag 0.7500 0.2500 0.7500  4 La 3.30, 4 Tb 3.30
16 Ag 0.7500 0.7500 0.2500  4 La 3.30, 4 Tb 3.30

---

# 2
Here is crystalline La2AgSe at its relaxed geometry from Alexandria. Energies are from PBE-GGA.

Crystal system = trigonal
Total energy = -4.97 eV/atom

Cell lengths 4.2155, 4.2155, 23.7687 Å; angles 90.00, 90.00, 120.00 degrees
Last column: nearest neighbours and their distance in Å.
Sites, in units of the cell vectors:
1 La 0.0000 0.0000 0.0000  3 Se 3.12, 3 Ag 3.13
2 La 0.0000 0.0000 0.1663  3 Ag 3.15, 3 Se 3.15
3 La 0.3333 0.6667 0.6667  3 Se 3.12, 3 Ag 3.13
4 La 0.3333 0.6667 0.8329  3 Ag 3.15, 3 Se 3.15
5 La 0.6667 0.3333 0.3333  3 Se 3.12, 3 Ag 3.13
6 La 0.6667 0.3333 0.4996  3 Ag 3.15, 3 Se 3.15
7 Ag 0.0000 0.0000 0.5835  6 La 3.13-3.15
8 Ag 0.3333 0.6667 0.2502  6 La 3.13-3.15
9 Ag 0.6667 0.3333 0.9169  6 La 3.13-3.15
10 Se 0.0000 0.0000 0.4155  6 La 3.12-3.15
11 Se 0.3333 0.6667 0.0822  6 La 3.12-3.15
12 Se 0.6667 0.3333 0.7489  6 La 3.12-3.15

---

# 3
Here is crystalline La2Ag2Se at its relaxed geometry from Alexandria. Energies are from PBE-GGA.

Crystal system = tetragonal
Total energy = -4.47 eV/atom

Cell lengths 3.8325, 3.8325, 17.8461 Å; angles 90.00, 90.00, 90.00 degrees
Last column: nearest neighbours and their distance in Å.
Sites, in units of the cell vectors:
1 La 0.0000 0.0000 0.1011  4 Se 3.26, 4 Ag 3.28, 1 La 3.61
2 La 0.0000 0.0000 0.8989  4 Se 3.26, 4 Ag 3.28, 1 La 3.61
3 La 0.5000 0.5000 0.3989  4 Se 3.26, 4 Ag 3.28, 1 La 3.61
4 La 0.5000 0.5000 0.6011  4 Se 3.26, 4 Ag 3.28, 1 La 3.61
5 Ag 0.0000 0.5000 0.2500  4 Ag 2.71
6 Ag 0.0000 0.5000 0.7500  4 Ag 2.71
7 Ag 0.5000 0.0000 0.2500  4 Ag 2.71
8 Ag 0.5000 0.0000 0.7500  4 Ag 2.71
9 Se 0.0000 0.0000 0.5000  8 La 3.26
10 Se 0.5000 0.5000 0.0000  8 La 3.26